Record 1
Here is a relaxed structure of Pr6Sb3P2I from Alexandria. Energies are from PBE-GGA.

Unit cell a=9.8971 b=9.8971 c=8.9471 alpha=102.06 beta=102.06 gamma=25.80
Fractional positions:
1 Pr 0.0133 0.0133 0.2721
2 Pr 0.3231 0.3231 0.8891
3 Pr 0.3275 0.3275 0.4277
4 Pr 0.6725 0.6725 0.5723
5 Pr 0.6769 0.6769 0.1109
6 Pr 0.9867 0.9867 0.7279
7 Sb 0.1585 0.1585 0.8358
8 Sb 0.5000 0.5000 0.5000
9 Sb 0.8415 0.8415 0.1642
10 P 0.1698 0.1698 0.3365
11 P 0.8302 0.8302 0.6635
12 I 0.5000 0.5000 0.0000

Calculated values
Crystal system: monoclinic
ΔE_f (raw) (eV per atom): -1.264
Density (Mg/m³): 6.238

---

Record 2
Here is a relaxed structure of Rb4GaF2 from Alexandria. Energies are from PBE-GGA.

Unit cell a=6.3622 b=6.3622 c=15.7014 alpha=90.00 beta=90.00 gamma=90.00
Fractional positions:
1 Rb 0.0000 0.0000 0.2427
2 Rb 0.0000 0.0000 0.7573
3 Rb 0.0000 0.5000 0.0000
4 Rb 0.0000 0.5000 0.5000
5 Rb 0.5000 0.0000 0.0000
6 Rb 0.5000 0.0000 0.5000
7 Rb 0.5000 0.5000 0.2573
8 Rb 0.5000 0.5000 0.7427
9 Ga 0.0000 0.0000 0.0000
10 Ga 0.5000 0.5000 0.5000
11 F 0.0000 0.0000 0.3987
12 F 0.0000 0.0000 0.6013
13 F 0.5000 0.5000 0.1013
14 F 0.5000 0.5000 0.8987

Calculated values
Crystal system: tetragonal
ΔE_f (raw) (eV per atom): -1.024
Density (Mg/m³): 2.349

---

Record 3
Here is a relaxed structure of MnCu2Cl from Alexandria. Energies are from PBE-GGA.

Unit cell a=6.2714 b=6.2714 c=6.2714 alpha=90.00 beta=90.00 gamma=90.00
Fractional positions:
1 Mn 0.0000 0.0000 0.0000
2 Mn 0.0000 0.5000 0.5000
3 Mn 0.5000 0.0000 0.5000
4 Mn 0.5000 0.5000 0.0000
5 Cu 0.2500 0.2500 0.2500
6 Cu 0.2500 0.2500 0.7500
7 Cu 0.2500 0.7500 0.2500
8 Cu 0.2500 0.7500 0.7500
9 Cu 0.7500 0.2500 0.2500
10 Cu 0.7500 0.2500 0.7500
11 Cu 0.7500 0.7500 0.2500
12 Cu 0.7500 0.7500 0.7500
13 Cl 0.0000 0.0000 0.5000
14 Cl 0.0000 0.5000 0.0000
15 Cl 0.5000 0.0000 0.0000
16 Cl 0.5000 0.5000 0.5000

Calculated values
Crystal system: cubic
ΔE_f (raw) (eV per atom): 0.581
Density (Mg/m³): 5.857
Relative energy among the computed polymorphs (meV per atom): 569

---

Record 4
Here is a relaxed structure of Li2TcBiH from Alexandria. Energies are from PBE-GGA.

Unit cell a=3.9363 b=3.9363 c=4.7969 alpha=90.00 beta=90.00 gamma=90.00
Fractional positions:
1 Li 0.0000 0.5000 0.0000
2 Li 0.5000 0.0000 0.0000
3 Tc 0.0000 0.0000 0.5000
4 Bi 0.5000 0.5000 0.5000
5 H 0.5000 0.5000 0.0000

Calculated values
Crystal system: tetragonal
Density (Mg/m³): 7.191

---

Record 5
Here is a relaxed structure of Sr2CaHo from Alexandria. Energies are from PBE-GGA.

Unit cell a=6.2441 b=6.2441 c=4.3676 alpha=90.00 beta=90.00 gamma=90.00
Fractional positions:
1 Sr 0.0000 0.5000 0.0000
2 Sr 0.5000 0.0000 0.0000
3 Ca 0.0000 0.0000 0.5000
4 Ho 0.5000 0.5000 0.5000

Calculated values
Crystal system: tetragonal
Density (Mg/m³): 3.708
Relative energy among the computed polymorphs (meV per atom): 29

---

Record 6
Here is a relaxed structure of KBPt3 from Alexandria. Energies are from PBE-GGA.

Unit cell a=7.6509 b=7.6509 c=7.6509 alpha=138.46 beta=138.46 gamma=60.19
Fractional positions:
1 K 0.1556 0.1556 0.0000
2 K 0.8444 0.8444 0.0000
3 B 0.5000 0.5000 0.0000
4 B 0.7500 0.2500 0.5000
5 Pt 0.0578 0.5578 0.5000
6 Pt 0.1259 0.3791 0.7468
7 Pt 0.4422 0.9422 0.5000
8 Pt 0.6209 0.3677 0.7468
9 Pt 0.6209 0.8741 0.2532
10 Pt 0.6323 0.3791 0.2532

Calculated values
Crystal system: tetragonal
Density (Mg/m³): 10.824

---

no.,magnetic moment (μB per formula unit),DFT total energy (eV/atom)
1,0.00,-5.7152
2,1.12,-2.5436
3,3.95,-4.2213
4,1.09,-3.9987
5,0.00,-2.2991
6,0.00,-4.9450